[1]
Crystalline RbRhPb3 at its relaxed geometry. Source: Alexandria, functional PBE.

a = 5.4701 Å, b = 5.4701 Å, c = 5.4701 Å
α = 90.00°, β = 90.00°, γ = 90.00°
Closest atoms and distances in Å follow each position.
Fractional coordinates of all 5 atoms:
Pb 0.0000 0.0000 0.5000  2 Rh 2.74
Pb 0.0000 0.5000 0.0000  2 Rh 2.74
Pb 0.5000 0.0000 0.0000  2 Rh 2.74
Rh 0.0000 0.0000 0.0000  6 Pb 2.74
Rb 0.5000 0.5000 0.5000  12 Pb 3.87

Energy relative to the elements in eV per formula unit: 0.5
Energy above the lowest structure with this stoichiometry in meV per atom: 173
DOS at the Fermi energy in states/eV per cell: 8.7

***

[2]
Crystalline CaLaSe3 at its relaxed geometry. Source: Alexandria, functional PBE.

a = 5.3090 Å, b = 5.3090 Å, c = 5.3090 Å
α = 90.00°, β = 90.00°, γ = 90.00°
Closest atoms and distances in Å follow each position.
Fractional coordinates of all 5 atoms:
Se 0.5000 0.0000 0.0000  2 Ca 2.65
Se 0.0000 0.5000 0.0000  2 Ca 2.65
Se 0.0000 0.0000 0.5000  2 Ca 2.65
La 0.5000 0.5000 0.5000  12 Se 3.75
Ca 0.0000 0.0000 0.0000  6 Se 2.65

Raw formation energy in kJ/mol of formula units: -507
Energy above the lowest structure with this stoichiometry in meV per atom: 32
DOS at the Fermi energy in states/eV per cell: 7.7

***

[3]
Crystalline Co2NiW at its relaxed geometry. Source: Alexandria, functional PBE.

a = 4.3809 Å, b = 4.3809 Å, c = 4.3809 Å
α = 130.78°, β = 130.78°, γ = 72.16°
Closest atoms and distances in Å follow each position.
Fractional coordinates of all 4 atoms:
Co 0.5000 0.5000 0.0000  4 Ni 2.54, 4 W 2.54, 4 Co 2.58
Co 0.0000 0.0000 0.0000  4 W 2.54, 4 Ni 2.54, 4 Co 2.58
Ni 0.7500 0.2500 0.5000  8 Co 2.54, 4 W 2.58
W 0.2500 0.7500 0.5000  8 Co 2.54, 4 Ni 2.58

Energy relative to the elements in eV per formula unit: -0.2
Energy above the lowest structure with this stoichiometry in meV per atom: 0
DOS at the Fermi energy in states/eV per cell: 5.3